12
Lattice="5.960 0.000 0.000 0.000 5.960 0.000 0.000 0.000 5.960" Properties=species:S:1:pos:R:3 comment="PBE-GGA GaCuAs, optimized geometry" de_polymorph_mev_per_atom=0 e_form_ev_per_fu=-0.01 volume_a3_per_atom=17.65 final_energy_ev_per_atom=-3.9284 pbc="T T T"
Ga 0.000 0.000 0.000
Ga 0.000 2.980 2.980
Ga 2.980 0.000 2.980
Ga 2.980 2.980 0.000
Cu 1.490 1.490 1.490
Cu 1.490 4.470 4.470
Cu 4.470 1.490 4.470
Cu 4.470 4.470 1.490
As 0.000 0.000 2.980
As 0.000 2.980 0.000
As 2.980 0.000 0.000
As 2.980 2.980 2.980